*P*
Material: Pr7Sm2Th2
Method: DFT, GGA-PBE
State: optimized geometry

Structure (CIF):
```
data_Pr7Sm2Th2
_chemical_formula_sum 'Pr7 Sm2 Th2'
_space_group_name_H-M_alt 'P 1'
_space_group_IT_number 1
_space_group_name_Hall 'P 1'
_cell_length_a 6.248
_cell_length_b 8.196
_cell_length_c 8.196
_cell_angle_alpha 91.80
_cell_angle_beta 74.78
_cell_angle_gamma 74.78
loop_
_atom_site_label
_atom_site_fract_x
_atom_site_fract_y
_atom_site_fract_z
Pr1 0.000 0.000 0.000
Pr2 0.168 0.585 0.069
Pr3 0.832 0.415 0.931
Pr4 0.417 0.237 0.237
Pr5 0.583 0.763 0.763
Pr6 0.168 0.069 0.585
Pr7 0.832 0.931 0.415
Sm1 0.500 0.776 0.224
Sm2 0.500 0.224 0.776
Th1 0.803 0.421 0.421
Th2 0.197 0.579 0.579
```

## Properties
Size of the total moment, μB per atom: 0.000
Density, g/cm³: 7.484
Space group: C2/m, No. 12

=====

*Q*
Material: Pr7Sm2Th2
Method: DFT, GGA-PBE
State: optimized geometry

Structure (CIF):
```
data_Pr7Sm2Th2
_chemical_formula_sum 'Pr7 Sm2 Th2'
_space_group_name_H-M_alt 'P 1'
_space_group_IT_number 1
_space_group_name_Hall 'P 1'
_cell_length_a 10.953
_cell_length_b 3.678
_cell_length_c 10.953
_cell_angle_alpha 76.99
_cell_angle_beta 113.33
_cell_angle_gamma 103.01
loop_
_atom_site_label
_atom_site_fract_x
_atom_site_fract_y
_atom_site_fract_z
Pr1 0.000 0.000 0.000
Pr2 0.919 0.173 0.591
Pr3 0.402 0.562 0.598
Pr4 0.409 0.173 0.081
Pr5 0.591 0.827 0.919
Pr6 0.598 0.438 0.402
Pr7 0.081 0.827 0.409
Sm1 0.207 0.761 0.793
Sm2 0.793 0.239 0.207
Th1 0.256 0.500 0.256
Th2 0.744 0.500 0.744
```

## Properties
Size of the total moment, μB per atom: 0.000
Density, g/cm³: 7.451
Space group: C2/m, No. 12

=====

The most stable structure shown above is *Q*; the least stable is *P*.